# 1
Below is a relaxed structure of Mg3CuSn, with properties calculated at the GGA-PBEsol level.

Lattice parameters (Å, degrees): 5.255 5.255 5.255 90.00 90.00 90.00
Atoms (fractional coordinates):
Sn (0.000, 0.000, 0.000)
Mg (0.000, 0.000, 0.500)
Mg (0.500, 0.000, 0.000)
Mg (0.000, 0.500, 0.000)
Cu (0.500, 0.500, 0.500)

# 2
Below is a relaxed structure of CdCoAu2, with properties calculated at the GGA-PBEsol level.

Lattice parameters (Å, degrees): 4.048 4.053 4.821 114.86 114.82 90.00
Site moments in Bohr magnetons follow the coordinates.
Atoms (fractional coordinates):
Cd (0.500, 0.000, 0.000)  -0.02
Co (0.000, 0.500, 0.000)  1.58
Au (0.750, 0.750, 0.500)  0.01
Au (0.250, 0.250, 0.500)  0.01

# 3
Below is a relaxed structure of K2LaBe, with properties calculated at the GGA-PBEsol level.

Lattice parameters (Å, degrees): 3.436 6.095 6.816 90.00 90.00 90.00
Atoms (fractional coordinates):
K (0.000, 0.000, 0.273)
K (0.000, 0.000, 0.727)
Be (0.500, 0.500, 0.500)
La (0.500, 0.500, 0.000)

Number 1: raw total energy -2.11 eV/atom. Number 2: raw total energy -4.05 eV/atom. Number 3: raw total energy -1.98 eV/atom.